Record 1
DFT (PBE) results for crystalline NiTe2N2 at its relaxed geometry.

Cell lengths 3.886, 3.886, 6.709 Å; angles 90.00, 90.00, 90.00 degrees
Space group P4/mmm (No. 123)
One atom of each set of equivalent atoms:
Ni  0.000  0.000  0.000 [1 per cell]
Te  0.500  0.500  0.000 [1 per cell]
Te  0.500  0.500  0.500 [1 per cell]
N  0.000  0.500  0.500 [2 per cell]

Properties
Its mass density is 5.61 Mg/m³. Its uncorrected formation energy is 1505 meV per atom. The raw total energy comes out at -0.1557 hartree per atom. Its density of states at the Fermi level is 7.099 states/eV per cell.



Record 2
DFT (PBE) results for crystalline TiNiTe2N at its relaxed geometry.

Cell lengths 5.453, 5.453, 3.653 Å; angles 90.00, 90.00, 90.00 degrees
Space group P4/mmm (No. 123)
One atom of each set of equivalent atoms:
Ti  0.000  0.000  0.000 [1 per cell]
Ni  0.500  0.500  0.500 [1 per cell]
Te  0.000  0.500  0.000 [2 per cell]
N  0.000  0.000  0.500 [1 per cell]

Properties
Its mass density is 5.74 Mg/m³. Its uncorrected formation energy is 346 meV per atom. The raw total energy comes out at -0.1952 hartree per atom. Its density of states at the Fermi level is 4.513 states/eV per cell.



Record 3
DFT (PBE) results for crystalline TiNiTe2N at its relaxed geometry.

Cell lengths 5.297, 5.297, 3.443 Å; angles 90.00, 90.00, 90.00 degrees
Space group P4/mmm (No. 123)
One atom of each set of equivalent atoms:
Ti  0.000  0.000  0.000 [1 per cell]
Ni  0.500  0.500  0.500 [1 per cell]
Te  0.000  0.500  0.500 [2 per cell]
N  0.500  0.500  0.000 [1 per cell]

Properties
Its mass density is 6.46 Mg/m³. Its uncorrected formation energy is 330 meV per atom. The raw total energy comes out at -0.1958 hartree per atom. Its density of states at the Fermi level is 3.330 states/eV per cell.